[1]
A geometry-optimized Cs2VSiCl6 structure. Source: Alexandria, functional PBE.

abc: 7.2998 7.2998 7.2998
angles: 60.00 60.00 60.00
Fractional positions:
Cs 0.2500 0.2500 0.2500
Cs 0.7500 0.7500 0.7500
V 0.0000 0.0000 0.0000
Si 0.5000 0.5000 0.5000
Cl 0.2452 0.2452 0.7548
Cl 0.2452 0.7548 0.2452
Cl 0.2452 0.7548 0.7548
Cl 0.7548 0.2452 0.2452
Cl 0.7548 0.2452 0.7548
Cl 0.7548 0.7548 0.2452

E_form (uncorrected) = -1.30 eV per atom
Calculated volume = 275.05 Å³/cell
Crystal system = cubic
Calculated total energy = -40.343 eV per cell

[2]
A geometry-optimized Ti2Be2Te structure. Source: Alexandria, functional PBE.

abc: 6.2642 6.2642 3.6304
angles: 90.00 90.00 90.00
Fractional positions:
Ti 0.1730 0.3270 0.0000
Ti 0.3270 0.8270 0.0000
Ti 0.6730 0.1730 0.0000
Ti 0.8270 0.6730 0.0000
Be 0.1137 0.6137 0.5000
Be 0.3863 0.1137 0.5000
Be 0.6137 0.8863 0.5000
Be 0.8863 0.3863 0.5000
Te 0.0000 0.0000 0.5000
Te 0.5000 0.5000 0.5000

E_form (uncorrected) = -0.12 eV per atom
Calculated volume = 142.46 Å³/cell
Crystal system = tetragonal
Calculated total energy = -53.937 eV per cell

[3]
A geometry-optimized CuB2Se4 structure. Source: Alexandria, functional PBE.

abc: 6.3245 6.5373 8.8101
angles: 68.48 73.91 88.36
Fractional positions:
Cu 0.0000 0.0000 0.0000
Cu 0.2628 0.6618 0.6096
B 0.3518 0.5848 0.3665
B 0.5126 0.3602 0.8491
B 0.5186 0.8634 0.8307
B 0.8607 0.5904 0.3431
Se 0.1005 0.3989 0.3803
Se 0.1991 0.3669 0.8766
Se 0.2394 0.8988 0.7822
Se 0.3577 0.8987 0.3223
Se 0.6067 0.4018 0.3707
Se 0.6859 0.0984 0.8550
Se 0.7031 0.6126 0.8263
Se 0.8680 0.9050 0.2992

E_form (uncorrected) = -0.05 eV per atom
Calculated volume = 324.50 Å³/cell
Crystal system = triclinic
Calculated total energy = -63.521 eV per cell

[4]
A geometry-optimized HfSc12In3 structure. Source: Alexandria, functional PBE.

abc: 4.5195 4.5195 18.2121
angles: 90.00 90.00 90.00
Fractional positions:
Hf 0.0000 0.0000 0.0000
Sc 0.0000 0.5000 0.1240
Sc 0.0000 0.5000 0.3754
Sc 0.0000 0.5000 0.6246
Sc 0.0000 0.5000 0.8760
Sc 0.5000 0.0000 0.1240
Sc 0.5000 0.0000 0.3754
Sc 0.5000 0.0000 0.6246
Sc 0.5000 0.0000 0.8760
Sc 0.5000 0.5000 0.0000
Sc 0.5000 0.5000 0.2529
Sc 0.5000 0.5000 0.5000
Sc 0.5000 0.5000 0.7471
In 0.0000 0.0000 0.2517
In 0.0000 0.0000 0.5000
In 0.0000 0.0000 0.7483

Calculated volume = 372.00 Å³/cell
Crystal system = tetragonal
Calculated total energy = -97.402 eV per cell
Energy of formation from the pure elements = -203 meV/atom

[5]
A geometry-optimized Fe3CoCl structure. Source: Alexandria, functional PBE.

abc: 4.4374 4.4374 4.4374
angles: 90.00 90.00 90.00
Fractional positions:
Fe 0.0000 0.0000 0.5000
Fe 0.0000 0.5000 0.0000
Fe 0.5000 0.0000 0.0000
Co 0.0000 0.0000 0.0000
Cl 0.5000 0.5000 0.5000

E_form (uncorrected) = 0.97 eV per atom
Calculated volume = 87.37 Å³/cell
Crystal system = cubic
Relative energy among the computed polymorphs = 0.363 eV/f.u.
Calculated total energy = -29.477 eV per cell

[6]
A geometry-optimized GaH5N2F2 structure. Source: Alexandria, functional PBE.

abc: 6.4621 6.4621 4.9795
angles: 92.92 92.92 54.58
Fractional positions:
Ga 0.0000 0.0000 0.0000
Ga 0.5000 0.5000 0.5000
H 0.0380 0.3309 0.7978
H 0.1077 0.1077 0.5717
H 0.2827 0.2827 0.3610
H 0.3309 0.0380 0.7978
H 0.3664 0.3664 0.0865
H 0.6336 0.6336 0.9135
H 0.6691 0.9620 0.2022
H 0.7173 0.7173 0.6390
H 0.8923 0.8923 0.4283
H 0.9620 0.6691 0.2022
N 0.1375 0.1375 0.7702
N 0.3633 0.3633 0.2895
N 0.6367 0.6367 0.7105
N 0.8625 0.8625 0.2298
F 0.1636 0.6905 0.7598
F 0.3095 0.8364 0.2402
F 0.6905 0.1636 0.7598
F 0.8364 0.3095 0.2402

Calculated volume = 169.17 Å³/cell
Crystal system = monoclinic
Calculated total energy = -99.726 eV per cell

[7]
A geometry-optimized KFeNi structure. Source: Alexandria, functional PBE.

abc: 3.1797 3.1797 12.3250
angles: 90.00 90.00 90.00
Fractional positions:
K 0.0000 0.0000 0.0000
K 0.5000 0.5000 0.5000
Fe 0.0000 0.0000 0.7263
Fe 0.5000 0.5000 0.2263
Ni 0.0000 0.0000 0.2851
Ni 0.5000 0.5000 0.7851

Calculated volume = 124.61 Å³/cell
Crystal system = tetragonal
Relative energy among the computed polymorphs = 0.000 eV/f.u.
Calculated total energy = -26.782 eV per cell
Energy of formation from the pure elements = 650 meV/atom

[8]
A geometry-optimized Pr3Al3Os structure. Source: Alexandria, functional PBE.

abc: 6.2319 6.2319 15.5236
angles: 105.85 105.85 37.58
Fractional positions:
Pr 0.0185 0.0185 0.3889
Pr 0.1224 0.1224 0.9190
Pr 0.2405 0.2405 0.2418
Pr 0.7595 0.7595 0.7582
Pr 0.8776 0.8776 0.0810
Pr 0.9815 0.9815 0.6111
Al 0.3165 0.3165 0.4652
Al 0.4060 0.4060 0.9256
Al 0.4715 0.4715 0.7687
Al 0.5285 0.5285 0.2313
Al 0.5940 0.5940 0.0744
Al 0.6835 0.6835 0.5348
Os 0.2819 0.2819 0.6253
Os 0.7181 0.7181 0.3747

Calculated volume = 352.01 Å³/cell
Crystal system = monoclinic
Calculated total energy = -78.351 eV per cell
Energy of formation from the pure elements = -340 meV/atom

[9]
A geometry-optimized Dy5InCo2 structure. Source: Alexandria, functional PBE.

abc: 8.6367 8.6367 8.6367
angles: 127.69 127.69 77.13
Fractional positions:
Dy 0.0000 0.0000 0.0000
Dy 0.0309 0.5309 0.8229
Dy 0.2081 0.0309 0.5000
Dy 0.2919 0.7919 0.8229
Dy 0.4691 0.2919 0.5000
Dy 0.5000 0.5000 0.0000
Dy 0.5309 0.7081 0.5000
Dy 0.7081 0.2081 0.1771
Dy 0.7919 0.9691 0.5000
Dy 0.9691 0.4691 0.1771
In 0.2500 0.2500 0.0000
In 0.7500 0.7500 0.0000
Co 0.1337 0.3663 0.5000
Co 0.3663 0.8663 0.2325
Co 0.6337 0.1337 0.7675
Co 0.8663 0.6337 0.5000

Calculated volume = 391.53 Å³/cell
Crystal system = tetragonal
Calculated total energy = -84.041 eV per cell
Energy of formation from the pure elements = -257 meV/atom

[10]
A geometry-optimized Ba2TlBi2 structure. Source: Alexandria, functional PBE.

abc: 7.1249 7.1249 12.3861
angles: 110.85 110.85 43.15
Fractional positions:
Ba 0.0758 0.0758 0.3690
Ba 0.1679 0.1679 0.0609
Ba 0.8321 0.8321 0.9391
Ba 0.9242 0.9242 0.6310
Tl 0.2274 0.2274 0.7546
Tl 0.7726 0.7726 0.2454
Bi 0.3586 0.3586 0.3976
Bi 0.4868 0.4868 0.1242
Bi 0.5132 0.5132 0.8758
Bi 0.6414 0.6414 0.6024

Calculated volume = 397.30 Å³/cell
Crystal system = monoclinic
Relative energy among the computed polymorphs = 0.136 eV/f.u.
Calculated total energy = -34.498 eV per cell
Energy of formation from the pure elements = -655 meV/atom

[11]
A geometry-optimized NdCuTe2 structure. Source: Alexandria, functional PBE.

abc: 4.6957 4.6957 24.7196
angles: 90.00 90.00 120.00
Fractional positions:
Nd 0.0000 0.0000 0.0000
Nd 0.3333 0.6667 0.6667
Nd 0.6667 0.3333 0.3333
Cu 0.0000 0.0000 0.5000
Cu 0.3333 0.6667 0.1667
Cu 0.6667 0.3333 0.8333
Te 0.0000 0.0000 0.4014
Te 0.0000 0.0000 0.5986
Te 0.3333 0.6667 0.0681
Te 0.3333 0.6667 0.2652
Te 0.6667 0.3333 0.7348
Te 0.6667 0.3333 0.9319

E_form (uncorrected) = -0.75 eV per atom
Calculated volume = 472.03 Å³/cell
Crystal system = trigonal
Calculated total energy = -54.410 eV per cell

[12]
A geometry-optimized Ba5PuN4F2 structure. Source: Alexandria, functional PBE.

abc: 7.9058 6.4279 6.4279
angles: 119.23 90.00 90.00
Fractional positions:
Ba 0.0000 0.0000 0.0000
Ba 0.2771 0.3108 0.6678
Ba 0.2771 0.6678 0.3108
Ba 0.7229 0.3108 0.6678
Ba 0.7229 0.6678 0.3108
Pu 0.5000 0.0068 0.0068
N 0.2790 0.2107 0.2107
N 0.5000 0.6523 0.9773
N 0.5000 0.9773 0.6523
N 0.7210 0.2107 0.2107
F 0.0000 0.5626 0.9747
F 0.0000 0.9747 0.5626

E_form (uncorrected) = -1.40 eV per atom
Calculated volume = 285.06 Å³/cell
Crystal system = orthorhombic
Calculated total energy = -77.849 eV per cell

[13]
A geometry-optimized Ac4TlCdN structure. Source: Alexandria, functional PBE.

abc: 9.0414 9.0414 7.6329
angles: 90.00 90.00 130.11
Fractional positions:
Ac 0.0000 0.5000 0.0000
Ac 0.0000 0.5000 0.5000
Ac 0.0832 0.9168 0.7500
Ac 0.4173 0.5827 0.7500
Ac 0.5000 0.0000 0.0000
Ac 0.5000 0.0000 0.5000
Ac 0.5827 0.4173 0.2500
Ac 0.9168 0.0832 0.2500
Tl 0.1198 0.8802 0.2500
Tl 0.8802 0.1198 0.7500
Cd 0.3802 0.6198 0.2500
Cd 0.6198 0.3802 0.7500
N 0.2522 0.7478 0.7500
N 0.7478 0.2522 0.2500

E_form (uncorrected) = -0.46 eV per atom
Calculated volume = 477.21 Å³/cell
Crystal system = orthorhombic
Calculated total energy = -62.589 eV per cell

[14]
A geometry-optimized AlAg6 structure. Source: Alexandria, functional PBE.

abc: 5.0487 5.0487 5.0487
angles: 99.50 99.50 99.50
Fractional positions:
Al 0.0000 0.0000 0.0000
Ag 0.1435 0.5691 0.2784
Ag 0.2784 0.1435 0.5691
Ag 0.4309 0.7216 0.8565
Ag 0.5691 0.2784 0.1435
Ag 0.7216 0.8565 0.4309
Ag 0.8565 0.4309 0.7216

Calculated volume = 122.71 Å³/cell
Crystal system = trigonal
Relative energy among the computed polymorphs = 0.014 eV/f.u.
Calculated total energy = -20.913 eV per cell
Energy of formation from the pure elements = -9 meV/atom

[15]
A geometry-optimized PrGe3Ru3 structure. Source: Alexandria, functional PBE.

abc: 6.6956 6.6956 6.6956
angles: 90.00 90.00 90.00
Fractional positions:
Pr 0.0000 0.0000 0.0000
Pr 0.5000 0.5000 0.5000
Ge 0.0000 0.2500 0.5000
Ge 0.0000 0.7500 0.5000
Ge 0.2500 0.5000 0.0000
Ge 0.5000 0.0000 0.2500
Ge 0.5000 0.0000 0.7500
Ge 0.7500 0.5000 0.0000
Ru 0.0000 0.5000 0.2500
Ru 0.0000 0.5000 0.7500
Ru 0.2500 0.0000 0.5000
Ru 0.5000 0.2500 0.0000
Ru 0.5000 0.7500 0.0000
Ru 0.7500 0.0000 0.5000

Calculated volume = 300.17 Å³/cell
Crystal system = cubic
Relative energy among the computed polymorphs = 1.410 eV/f.u.
Calculated total energy = -92.874 eV per cell
Energy of formation from the pure elements = 3 meV/atom

[16]
A geometry-optimized MgBeH structure. Source: Alexandria, functional PBE.

abc: 3.8235 3.6378 5.3048
angles: 90.00 111.22 90.00
Fractional positions:
Mg 0.0000 0.0000 0.0000
Mg 0.2555 0.5000 0.5047
Be 0.5421 0.5000 0.1272
Be 0.6669 0.0000 0.3621
H 0.2252 0.5000 0.8700
H 0.6523 0.0000 0.6304

Calculated volume = 68.78 Å³/cell
Crystal system = monoclinic
Relative energy among the computed polymorphs = 0.116 eV/f.u.
Calculated total energy = -16.585 eV per cell

[17]
A geometry-optimized NaPuMgPb structure. Source: Alexandria, functional PBE.

abc: 7.6118 7.6118 7.6118
angles: 90.00 90.00 90.00
Fractional positions:
Na 0.0000 0.0000 0.0000
Na 0.0000 0.5000 0.5000
Na 0.5000 0.0000 0.5000
Na 0.5000 0.5000 0.0000
Pu 0.0000 0.0000 0.5000
Pu 0.0000 0.5000 0.0000
Pu 0.5000 0.0000 0.0000
Pu 0.5000 0.5000 0.5000
Mg 0.2500 0.2500 0.2500
Mg 0.2500 0.7500 0.7500
Mg 0.7500 0.2500 0.7500
Mg 0.7500 0.7500 0.2500
Pb 0.2500 0.2500 0.7500
Pb 0.2500 0.7500 0.2500
Pb 0.7500 0.2500 0.2500
Pb 0.7500 0.7500 0.7500

Calculated volume = 441.03 Å³/cell
Crystal system = cubic
Calculated total energy = -82.984 eV per cell
Energy of formation from the pure elements = 52 meV/atom

[18]
A geometry-optimized YSb2Te2 structure. Source: Alexandria, functional PBE.

abc: 8.1065 8.1065 4.6153
angles: 90.00 90.00 90.00
Fractional positions:
Y 0.0000 0.0000 0.0000
Y 0.5000 0.5000 0.0000
Sb 0.1362 0.3638 0.0000
Sb 0.3638 0.8638 0.0000
Sb 0.6362 0.1362 0.0000
Sb 0.8638 0.6362 0.0000
Te 0.1932 0.6932 0.5000
Te 0.3068 0.1932 0.5000
Te 0.6932 0.8068 0.5000
Te 0.8068 0.3068 0.5000

E_form (uncorrected) = -0.33 eV per atom
Calculated volume = 303.30 Å³/cell
Crystal system = tetragonal
Calculated total energy = -45.264 eV per cell

[19]
A geometry-optimized GaPF structure. Source: Alexandria, functional PBE.

abc: 10.3708 3.8147 5.5633
angles: 90.00 102.41 90.00
Fractional positions:
Ga 0.0000 0.0000 0.0000
Ga 0.1511 0.5000 0.5749
Ga 0.5000 0.5000 0.0000
Ga 0.6511 0.0000 0.5749
P 0.3773 0.5000 0.5437
P 0.4306 0.0000 0.3383
P 0.8773 0.0000 0.5437
P 0.9306 0.5000 0.3383
F 0.1114 0.5000 0.9098
F 0.1854 0.0000 0.6720
F 0.6114 0.0000 0.9098
F 0.6854 0.5000 0.6720

E_form (uncorrected) = -1.06 eV per atom
Calculated volume = 214.95 Å³/cell
Crystal system = monoclinic
Relative energy among the computed polymorphs = 0.566 eV/f.u.
Calculated total energy = -53.979 eV per cell

[20]
A geometry-optimized LiPrAgRh structure. Source: Alexandria, functional PBE.

abc: 6.8079 6.8079 6.8079
angles: 90.00 90.00 90.00
Fractional positions:
Li 0.0000 0.0000 0.0000
Li 0.0000 0.5000 0.5000
Li 0.5000 0.0000 0.5000
Li 0.5000 0.5000 0.0000
Pr 0.2500 0.2500 0.2500
Pr 0.2500 0.7500 0.7500
Pr 0.7500 0.2500 0.7500
Pr 0.7500 0.7500 0.2500
Ag 0.2500 0.2500 0.7500
Ag 0.2500 0.7500 0.2500
Ag 0.7500 0.2500 0.2500
Ag 0.7500 0.7500 0.7500
Rh 0.0000 0.0000 0.5000
Rh 0.0000 0.5000 0.0000
Rh 0.5000 0.0000 0.0000
Rh 0.5000 0.5000 0.5000

Calculated volume = 315.53 Å³/cell
Crystal system = cubic
Calculated total energy = -71.613 eV per cell
Energy of formation from the pure elements = -252 meV/atom